(1)
ZrTl2As after structural relaxation, computed with PBE-GGA.

a = 3.2519 Å, b = 3.2519 Å, c = 9.0335 Å
α = 90.00°, β = 90.00°, γ = 90.00°
Closest atoms and distances in Å follow each position.
Sites, in units of the cell vectors:
Tl: 0.0000 0.0000 0.9992  4 As 3.22, 4 Zr 3.23, 4 Tl 3.25
Tl: 0.0000 0.0000 0.5008  4 As 3.22, 4 Zr 3.23, 4 Tl 3.25
As: 0.5000 0.5000 0.7500  8 Tl 3.22, 4 As 3.25
Zr: 0.5000 0.5000 0.2500  8 Tl 3.23, 4 Zr 3.25

Summary:
Relative energy among the computed polymorphs, eV/f.u.: 2.37
V, Å³/cell: 95.5
Final energy, eV/atom: -4.173
Space group: P4/mmm, No. 123
Energy of formation from the pure elements, kJ/mol of formula units: 120
D(E_F), states/eV/cell: 4.50

***

(2)
Th2P7Rh12 after structural relaxation, computed with PBE-GGA.

a = 3.9208 Å, b = 9.6723 Å, c = 9.6723 Å
α = 120.00°, β = 90.00°, γ = 90.00°
Closest atoms and distances in Å follow each position.
Sites, in units of the cell vectors:
Th: 0.2521 0.3333 0.6667  9 Rh 3.06-3.41, 6 P 3.08-3.09
Th: 0.7479 0.6667 0.3333  9 Rh 3.06-3.41, 6 P 3.08-3.09
P: 0.5000 0.0000 0.0000  6 Rh 2.40
P: 0.2456 0.8856 0.2855  6 Rh 2.32-2.57
P: 0.2456 0.3999 0.1144  6 Rh 2.32-2.57
P: 0.2456 0.7145 0.6001  6 Rh 2.32-2.57
P: 0.7544 0.1144 0.7145  6 Rh 2.32-2.57
P: 0.7544 0.6001 0.8856  6 Rh 2.32-2.57
P: 0.7544 0.2855 0.3999  6 Rh 2.32-2.57
Rh: 0.2490 0.6192 0.0691  4 P 2.37-2.60
Rh: 0.2490 0.4500 0.3808  4 P 2.37-2.60
Rh: 0.2490 0.9309 0.5500  4 P 2.37-2.60
Rh: 0.7510 0.3808 0.9309  4 P 2.37-2.60
Rh: 0.7510 0.5500 0.6192  4 P 2.37-2.60
Rh: 0.7510 0.0691 0.4500  4 P 2.37-2.60
Rh: 0.2493 0.1117 0.2607  4 P 2.32-2.51
Rh: 0.2493 0.1490 0.8883  4 P 2.32-2.51
Rh: 0.2493 0.7393 0.8510  4 P 2.32-2.51
Rh: 0.7507 0.8883 0.7393  4 P 2.32-2.51
Rh: 0.7507 0.8510 0.1117  4 P 2.32-2.51
Rh: 0.7507 0.2607 0.1490  4 P 2.32-2.51

Summary:
V, Å³/cell: 317.7
Final energy, eV/atom: -7.638
Space group: P-3, No. 147
Energy of formation from the pure elements, kJ/mol of formula units: -1878
D(E_F), states/eV/cell: 14.42

***

(3)
CuAuNF2 after structural relaxation, computed with PBE-GGA.

a = 3.5701 Å, b = 6.0653 Å, c = 3.5701 Å
α = 90.00°, β = 90.00°, γ = 90.00°
Closest atoms and distances in Å follow each position.
Sites, in units of the cell vectors:
N: 0.5000 0.5000 0.5000  4 Au 2.52
Au: 0.0000 0.5000 0.0000  4 N 2.52
Cu: 0.0000 0.0000 0.0000  4 F 1.79
F: 0.0000 0.0000 0.5000  2 Cu 1.79
F: 0.5000 0.0000 0.0000  2 Cu 1.79

Summary:
Relative energy among the computed polymorphs, eV/f.u.: 0.00
V, Å³/cell: 77.3
Final energy, eV/atom: -3.737
Space group: P4/mmm, No. 123
Formation energy without anion corrections, eV/atom: 0.15
D(E_F), states/eV/cell: 1.94

***

(4)
K2HfNb after structural relaxation, computed with PBE-GGA.

a = 12.4738 Å, b = 12.4738 Å, c = 9.1655 Å
α = 47.12°, β = 47.12°, γ = 90.00°
Closest atoms and distances in Å follow each position.
Sites, in units of the cell vectors:
Nb: 0.5000 0.5000 0.0000  2 Hf 2.49
Nb: 0.2500 0.7500 0.5000  2 Hf 2.49
Hf: 0.0000 0.0000 0.0000  2 Nb 2.49
Hf: 0.7500 0.2500 0.5000  2 Nb 2.49
K: 0.4931 0.1250 0.2500  2 Nb 3.50, 2 Hf 3.92
K: 0.2569 0.6250 0.2500  2 Nb 3.50, 2 Hf 3.92
K: 0.3750 0.5069 0.7500  2 Nb 3.50, 2 Hf 3.92
K: 0.8750 0.7431 0.7500  2 Nb 3.50, 2 Hf 3.92

Summary:
Relative energy among the computed polymorphs, eV/f.u.: 0.00
V, Å³/cell: 387.7
Final energy, eV/atom: -3.963
Space group: I-42d, No. 122
Energy of formation from the pure elements, kJ/mol of formula units: 614
D(E_F), states/eV/cell: 10.79

***

(5)
Ce2TlCo after structural relaxation, computed with PBE-GGA.

a = 3.7936 Å, b = 3.7936 Å, c = 8.6344 Å
α = 77.31°, β = 77.31°, γ = 60.00°
Closest atoms and distances in Å follow each position.
Sites, in units of the cell vectors:
Tl: 0.5000 0.5000 0.5000  6 Ce 3.42, 6 Tl 3.79
Co: 0.0000 0.0000 0.0000  6 Ce 2.69
Ce: 0.2713 0.2713 0.1860  3 Co 2.69
Ce: 0.7287 0.7287 0.8140  3 Co 2.69

Summary:
Relative energy among the computed polymorphs, eV/f.u.: 0.05
V, Å³/cell: 104.1
Final energy, eV/atom: -5.495
Space group: R-3m, No. 166
Energy of formation from the pure elements, kJ/mol of formula units: -62
D(E_F), states/eV/cell: 8.57

***

(6)
TlRu3 after structural relaxation, computed with PBE-GGA.

a = 2.8598 Å, b = 2.8598 Å, c = 7.8064 Å
α = 90.00°, β = 90.00°, γ = 90.00°
Closest atoms and distances in Å follow each position.
Sites, in units of the cell vectors:
Ru: 0.0000 0.0000 0.9727  8 Ru 2.67-2.86, 4 Tl 2.96
Ru: 0.5000 0.5000 0.7500  12 Ru 2.67-2.86
Ru: 0.0000 0.0000 0.5273  8 Ru 2.67-2.86, 4 Tl 2.96
Tl: 0.5000 0.5000 0.2500  4 Tl 2.86, 8 Ru 2.96

Summary:
Relative energy among the computed polymorphs, eV/f.u.: 0.00
V, Å³/cell: 63.8
Final energy, eV/atom: -7.100
Space group: P4/mmm, No. 123
Energy of formation from the pure elements, kJ/mol of formula units: 173
D(E_F), states/eV/cell: 3.77

***

(7)
Li2AcTbGe2 after structural relaxation, computed with PBE-GGA.

a = 4.5432 Å, b = 4.5432 Å, c = 7.7292 Å
α = 90.00°, β = 90.00°, γ = 120.00°
Closest atoms and distances in Å follow each position.
Sites, in units of the cell vectors:
Li: 0.3333 0.6667 0.6926  3 Ge 2.63
Li: 0.6667 0.3333 0.3074  3 Ge 2.63
Ac: 0.0000 0.0000 0.0000  6 Ge 3.39, 6 Li 3.54
Tb: 0.0000 0.0000 0.5000  6 Li 3.02, 6 Ge 3.14
Ge: 0.3333 0.6667 0.2779  3 Li 2.63
Ge: 0.6667 0.3333 0.7221  3 Li 2.63

Summary:
V, Å³/cell: 138.2
Final energy, eV/atom: -4.288
Space group: P-3m1, No. 164
Energy of formation from the pure elements, kJ/mol of formula units: -379
D(E_F), states/eV/cell: 1.18

***

(8)
MgNbOF2 after structural relaxation, computed with PBE-GGA.

a = 4.4068 Å, b = 4.4068 Å, c = 3.9779 Å
α = 90.00°, β = 90.00°, γ = 90.00°
Closest atoms and distances in Å follow each position.
Sites, in units of the cell vectors:
Nb: 0.0000 0.0000 0.0000  2 O 1.99, 4 F 2.20
Mg: 0.5000 0.5000 0.5000  8 F 2.97, 4 O 3.12
O: 0.0000 0.0000 0.5000  2 Nb 1.99
F: 0.0000 0.5000 0.0000  2 Nb 2.20
F: 0.5000 0.0000 0.0000  2 Nb 2.20

Summary:
Relative energy among the computed polymorphs, eV/f.u.: 0.00
V, Å³/cell: 77.2
Final energy, eV/atom: -5.889
Space group: P4/mmm, No. 123
Formation energy without anion corrections, eV/atom: -1.82
D(E_F), states/eV/cell: 1.98

***

Copy entry 7 word for word.
Li2AcTbGe2 after structural relaxation, computed with PBE-GGA.

a = 4.5432 Å, b = 4.5432 Å, c = 7.7292 Å
α = 90.00°, β = 90.00°, γ = 120.00°
Closest atoms and distances in Å follow each position.
Sites, in units of the cell vectors:
Li: 0.3333 0.6667 0.6926  3 Ge 2.63
Li: 0.6667 0.3333 0.3074  3 Ge 2.63
Ac: 0.0000 0.0000 0.0000  6 Ge 3.39, 6 Li 3.54
Tb: 0.0000 0.0000 0.5000  6 Li 3.02, 6 Ge 3.14
Ge: 0.3333 0.6667 0.2779  3 Li 2.63
Ge: 0.6667 0.3333 0.7221  3 Li 2.63

Summary:
V, Å³/cell: 138.2
Final energy, eV/atom: -4.288
Space group: P-3m1, No. 164
Energy of formation from the pure elements, kJ/mol of formula units: -379
D(E_F), states/eV/cell: 1.18